First-principles (PBE-GGA) data for Sm14HoPu after structural relaxation, as listed in Alexandria.

Lattice parameters (Å, degrees): 7.2277 7.2277 10.1679 90.00 90.00 90.00
Closest atoms and distances in Å follow each position.
Sites, in units of the cell vectors:
Sm 0.0000 0.0000 0.0000  12 Sm 3.61-3.62
Sm 0.0000 0.5000 0.0000  12 Sm 3.61-3.63
Sm 0.0000 0.5000 0.5000  8 Sm 3.58, 2 Ho 3.61, 2 Pu 3.61
Sm 0.2487 0.2487 0.2536  1 Pu 3.57, 10 Sm 3.58-3.64, 1 Ho 3.59
Sm 0.2487 0.2487 0.7464  1 Pu 3.57, 10 Sm 3.58-3.64, 1 Ho 3.59
Sm 0.2487 0.7513 0.2536  1 Pu 3.57, 10 Sm 3.58-3.64, 1 Ho 3.59
Sm 0.2487 0.7513 0.7464  1 Pu 3.57, 10 Sm 3.58-3.64, 1 Ho 3.59
Sm 0.5000 0.0000 0.0000  12 Sm 3.61-3.63
Sm 0.5000 0.0000 0.5000  8 Sm 3.58, 2 Ho 3.61, 2 Pu 3.61
Sm 0.5000 0.5000 0.0000  12 Sm 3.61-3.64
Sm 0.7513 0.2487 0.2536  1 Pu 3.57, 10 Sm 3.58-3.64, 1 Ho 3.59
Sm 0.7513 0.2487 0.7464  1 Pu 3.57, 10 Sm 3.58-3.64, 1 Ho 3.59
Sm 0.7513 0.7513 0.2536  1 Pu 3.57, 10 Sm 3.58-3.64, 1 Ho 3.59
Sm 0.7513 0.7513 0.7464  1 Pu 3.57, 10 Sm 3.58-3.64, 1 Ho 3.59
Ho 0.5000 0.5000 0.5000  12 Sm 3.59-3.61
Pu 0.0000 0.0000 0.5000  12 Sm 3.57-3.61

Output
**Space-group type**: P4/mmm (123)
**Energy of formation from the pure elements**: 0.66 eV per formula unit

***

First-principles (PBE-GGA) data for Li15Ca6Zn8 after structural relaxation, as listed in Alexandria.

Lattice parameters (Å, degrees): 9.5179 9.5179 9.5179 60.00 60.00 60.00
Closest atoms and distances in Å follow each position.
Sites, in units of the cell vectors:
Li 0.0000 0.0000 0.0000  8 Zn 2.85
Li 0.0000 0.0000 0.5000  4 Li 2.76, 4 Zn 2.94
Li 0.0000 0.5000 0.0000  4 Li 2.76, 4 Zn 2.94
Li 0.0000 0.5000 0.5000  4 Li 2.76, 4 Zn 2.94
Li 0.0291 0.3236 0.3236  6 Li 2.76-2.80, 3 Zn 2.90
Li 0.3236 0.0291 0.3236  6 Li 2.76-2.80, 3 Zn 2.90
Li 0.3236 0.3236 0.0291  6 Li 2.76-2.80, 3 Zn 2.90
Li 0.3236 0.3236 0.3236  6 Li 2.76-2.80, 3 Zn 2.90
Li 0.5000 0.0000 0.0000  4 Li 2.76, 4 Zn 2.94
Li 0.5000 0.0000 0.5000  4 Li 2.76, 4 Zn 2.94
Li 0.5000 0.5000 0.0000  4 Li 2.76, 4 Zn 2.94
Li 0.6764 0.6764 0.6764  6 Li 2.76-2.80, 3 Zn 2.90
Li 0.6764 0.6764 0.9709  6 Li 2.76-2.80, 3 Zn 2.90
Li 0.6764 0.9709 0.6764  6 Li 2.76-2.80, 3 Zn 2.90
Li 0.9709 0.6764 0.6764  6 Li 2.76-2.80, 3 Zn 2.90
Ca 0.2785 0.2785 0.7215  4 Zn 3.14, 8 Li 3.39-3.41
Ca 0.2785 0.7215 0.2785  4 Zn 3.14, 8 Li 3.39-3.41
Ca 0.2785 0.7215 0.7215  4 Zn 3.14, 8 Li 3.39-3.41
Ca 0.7215 0.2785 0.2785  4 Zn 3.14, 8 Li 3.39-3.41
Ca 0.7215 0.2785 0.7215  4 Zn 3.14, 8 Li 3.39-3.41
Ca 0.7215 0.7215 0.2785  4 Zn 3.14, 8 Li 3.39-3.41
Zn 0.1223 0.1223 0.1223  7 Li 2.85-2.94, 3 Ca 3.14
Zn 0.1223 0.1223 0.6330  7 Li 2.85-2.94, 3 Ca 3.14
Zn 0.1223 0.6330 0.1223  7 Li 2.85-2.94, 3 Ca 3.14
Zn 0.3670 0.8777 0.8777  7 Li 2.85-2.94, 3 Ca 3.14
Zn 0.6330 0.1223 0.1223  7 Li 2.85-2.94, 3 Ca 3.14
Zn 0.8777 0.3670 0.8777  7 Li 2.85-2.94, 3 Ca 3.14
Zn 0.8777 0.8777 0.3670  7 Li 2.85-2.94, 3 Ca 3.14
Zn 0.8777 0.8777 0.8777  7 Li 2.85-2.94, 3 Ca 3.14

Output
**Space-group type**: Fm-3m (225)
**Energy of formation from the pure elements**: -3.11 eV per formula unit

***

First-principles (PBE-GGA) data for Na2SiPd after structural relaxation, as listed in Alexandria.

Lattice parameters (Å, degrees): 11.2182 11.2182 4.5291 90.00 90.00 90.00
Closest atoms and distances in Å follow each position.
Sites, in units of the cell vectors:
Na 0.0072 0.7500 0.1250  2 Pd 2.86
Na 0.2500 0.0072 0.8750  2 Pd 2.86
Na 0.2500 0.4928 0.3750  2 Pd 2.86
Na 0.4928 0.7500 0.6250  2 Pd 2.86
Na 0.5072 0.2500 0.6250  2 Pd 2.86
Na 0.7500 0.5072 0.3750  2 Pd 2.86
Na 0.7500 0.9928 0.8750  2 Pd 2.86
Na 0.9928 0.2500 0.1250  2 Pd 2.86
Si 0.0000 0.0000 0.5000  2 Pd 2.26
Si 0.0000 0.5000 0.7500  2 Pd 2.26
Si 0.5000 0.0000 0.2500  2 Pd 2.26
Si 0.5000 0.5000 0.0000  2 Pd 2.26
Pd 0.0000 0.0000 0.0000  2 Si 2.26
Pd 0.0000 0.5000 0.2500  2 Si 2.26
Pd 0.5000 0.0000 0.7500  2 Si 2.26
Pd 0.5000 0.5000 0.5000  2 Si 2.26

Output
**Space-group type**: I-42d (122)
**Formation energy without anion corrections**: 14 meV/atom

***

Theoretical density (g cm⁻³)
7.86, 2.36, 2.10
Total magnetic moment (μB per formula unit)
6.30, 0.00, 0.00
Final energy (eV/atom)
-5.27, -1.86, -3.30